Here is a relaxed structure of UMn2TcO8 from the Alexandria database. Energies are from PBE+U.

Calculated values
* spin magnetization: 17.99 Bohr magnetons per cell
* raw total energy: -8.415 eV/atom

Cell: 6.7108 6.9068 6.4695 Å, 90.00 90.00 90.00°
Space group Cmmm (No. 65)
Inequivalent atoms, fractional coordinates:
1 U 0.0000 0.0000 0.0000 x2
2 Mn 0.0000 0.5000 0.2587 x4
3 Tc 0.0000 0.0000 0.5000 x2
4 O 0.0000 0.1912 0.2649 x8
5 O 0.2038 0.5000 0.0000 x4
6 O 0.2247 0.5000 0.5000 x4